# GGA-PBE CePuMnTc, optimized geometry
# E_form ... 0.38 eV/f.u.
# Calculated volume ... 19.80 A^3/atom
# Magnetic moment ... 0.511 μB/atom
# Energy ... -157.7 eV/cell
# Crystal system ... cubic
# D(E_F) ... 1.396 states/eV/atom
data_CePuMnTc
_chemical_formula_sum 'Ce4 Pu4 Mn4 Tc4'
_cell_length_a 6.8165
_cell_length_b 6.8165
_cell_length_c 6.8165
_cell_angle_alpha 90.00
_cell_angle_beta 90.00
_cell_angle_gamma 90.00
_symmetry_space_group_name_H-M 'F -4 3 m'
_symmetry_Int_Tables_number 216
_symmetry_space_group_name_Hall 'F -4 2 3'
loop_
_atom_site_label
_atom_site_type_symbol
_atom_site_fract_x
_atom_site_fract_y
_atom_site_fract_z
_atom_site_occupancy
Ce1 Ce 0.0000 0.0000 0.0000 1
Pu1 Pu 0.0000 0.0000 0.5000 1
Mn1 Mn 0.2500 0.2500 0.2500 1
Tc1 Tc 0.2500 0.2500 0.7500 1